Entry 1:
Below is a geometry-optimized Tb2SiF structure, with properties calculated at the PBE-GGA level.

a b c (Å): 4.328 4.328 7.637
angles (deg): 73.54 73.54 60.00
Atoms (fractional coordinates):
Tb 0.102 0.102 0.693
F 0.000 0.000 0.000
Tb 0.898 0.898 0.307
Si 0.500 0.500 0.500

Total moment = 0.0 μB/cell
Formation energy (no corrections) = -1587 meV/atom

Entry 2:
Below is a geometry-optimized SiTc2F structure, with properties calculated at the PBE-GGA level.

a b c (Å): 6.350 6.350 5.239
angles (deg): 52.69 52.69 90.00
Atoms (fractional coordinates):
Tc 0.875 0.848 0.750
Tc 0.152 0.625 0.250
F 0.250 0.750 0.500
Tc 0.375 0.402 0.750
F 0.500 0.500 0.000
Tc 0.598 0.125 0.250
Si 0.000 0.000 0.000
Si 0.750 0.250 0.500

Total moment = 1.3 μB/cell
Formation energy (no corrections) = 180 meV/atom

Entry 3:
Below is a geometry-optimized SiTcF2 structure, with properties calculated at the PBE-GGA level.

a b c (Å): 4.193 4.193 4.193
angles (deg): 60.00 60.00 60.00
Atoms (fractional coordinates):
Si 0.000 0.000 0.000
F 0.750 0.750 0.750
F 0.250 0.250 0.250
Tc 0.500 0.500 0.500

Total moment = 3.0 μB/cell
Formation energy (no corrections) = -144 meV/atom

Entry 4:
Below is a geometry-optimized SiTcF2 structure, with properties calculated at the PBE-GGA level.

a b c (Å): 8.139 8.139 8.139
angles (deg): 18.90 18.90 18.90
Atoms (fractional coordinates):
F 0.084 0.084 0.084
Si 0.500 0.500 0.500
Tc 0.000 0.000 0.000
F 0.916 0.916 0.916

Total moment = 0.0 μB/cell
Formation energy (no corrections) = -835 meV/atom

Entry 5:
Below is a geometry-optimized Si2TcF structure, with properties calculated at the PBE-GGA level.

a b c (Å): 5.975 5.975 5.202
angles (deg): 54.95 54.95 90.00
Atoms (fractional coordinates):
Si 0.170 0.625 0.250
F 0.250 0.750 0.500
Tc 0.000 0.000 0.000
Si 0.875 0.830 0.750
Tc 0.750 0.250 0.500
Si 0.375 0.420 0.750
Si 0.580 0.125 0.250
F 0.500 0.500 0.000

Total moment = 0.0 μB/cell
Formation energy (no corrections) = -153 meV/atom

Entry 6:
Below is a geometry-optimized Si3TcF structure, with properties calculated at the PBE-GGA level.

a b c (Å): 4.592 4.592 4.592
angles (deg): 90.00 90.00 90.00
Atoms (fractional coordinates):
Si 0.000 0.000 0.500
Si 0.000 0.500 0.000
F 0.500 0.500 0.500
Tc 0.000 0.000 0.000
Si 0.500 0.000 0.000

Total moment = 0.0 μB/cell
Formation energy (no corrections) = -264 meV/atom

Entry 7:
Below is a geometry-optimized SiTcF3 structure, with properties calculated at the PBE-GGA level.

a b c (Å): 4.243 4.243 4.243
angles (deg): 90.00 90.00 90.00
Atoms (fractional coordinates):
F 0.500 0.000 0.000
F 0.000 0.500 0.000
Tc 0.500 0.500 0.500
F 0.000 0.000 0.500
Si 0.000 0.000 0.000

Total moment = 4.3 μB/cell
Formation energy (no corrections) = -609 meV/atom

Entry 8:
Below is a geometry-optimized SiTcF3 structure, with properties calculated at the PBE-GGA level.

a b c (Å): 4.302 4.302 4.302
angles (deg): 90.00 90.00 90.00
Atoms (fractional coordinates):
F 0.000 0.000 0.500
Tc 0.000 0.000 0.000
Si 0.500 0.500 0.500
F 0.500 0.000 0.000
F 0.000 0.500 0.000

Total moment = 2.4 μB/cell
Formation energy (no corrections) = -574 meV/atom

Entry 9:
Below is a geometry-optimized SiTcF2 structure, with properties calculated at the PBE-GGA level.

a b c (Å): 8.173 8.173 8.173
angles (deg): 18.52 18.52 18.52
Atoms (fractional coordinates):
F 0.073 0.073 0.073
F 0.927 0.927 0.927
Si 0.000 0.000 0.000
Tc 0.500 0.500 0.500

Total moment = 0.0 μB/cell
Formation energy (no corrections) = -831 meV/atom

Entry 10:
Below is a geometry-optimized Si2TcF structure, with properties calculated at the PBE-GGA level.

a b c (Å): 4.235 4.235 4.235
angles (deg): 60.00 60.00 60.00
Atoms (fractional coordinates):
F 0.000 0.000 0.000
Tc 0.500 0.500 0.500
Si 0.250 0.250 0.250
Si 0.750 0.750 0.750

Total moment = 0.8 μB/cell
Formation energy (no corrections) = 23 meV/atom

Entry 11:
Below is a geometry-optimized SiTcF2 structure, with properties calculated at the PBE-GGA level.

a b c (Å): 3.636 3.636 8.238
angles (deg): 77.25 77.25 90.00
Atoms (fractional coordinates):
F 0.875 0.878 0.750
F 0.628 0.125 0.250
F 0.375 0.372 0.750
F 0.122 0.625 0.250
Si 0.250 0.750 0.500
Si 0.500 0.500 0.000
Tc 0.000 0.000 0.000
Tc 0.750 0.250 0.500

Total moment = 5.8 μB/cell
Formation energy (no corrections) = -721 meV/atom

Entry 12:
Below is a geometry-optimized SiTc2F structure, with properties calculated at the PBE-GGA level.

a b c (Å): 4.167 4.167 4.167
angles (deg): 60.00 60.00 60.00
Atoms (fractional coordinates):
Tc 0.250 0.250 0.250
Si 0.500 0.500 0.500
Tc 0.750 0.750 0.750
F 0.000 0.000 0.000

Total moment = 0.0 μB/cell
Formation energy (no corrections) = -97 meV/atom